No. 1
# PBE YPa2GeN5, relaxed
# Space group: No. 36
# Electronic total energy in eV/atom: -9.00
data_YPa2GeN5
_chemical_formula_sum 'Y2 Pa4 Ge2 N10'
_space_group_name_H-M_alt 'P 1'
_space_group_IT_number 1
_cell_length_a 3.2954
_cell_length_b 8.0941
_cell_length_c 9.5805
_cell_angle_alpha 90.00
_cell_angle_beta 90.00
_cell_angle_gamma 101.75
loop_
_space_group_symop_operation_xyz
'x,y,z'
loop_
_atom_site_label
_atom_site_fract_x
_atom_site_fract_y
_atom_site_fract_z
_atom_site_occupancy
Pa1 0.8848 0.7696 0.8060 1
Pa2 0.8991 0.7982 0.1757 1
Pa3 0.1152 0.2304 0.3060 1
Pa4 0.1009 0.2018 0.6757 1
Y1 0.2155 0.4310 0.0047 1
Y2 0.7845 0.5690 0.5047 1
N1 0.4929 0.9859 0.7830 1
N2 0.0371 0.0742 0.0530 1
N3 0.6571 0.3141 0.8548 1
N4 0.6380 0.2760 0.5075 1
N5 0.9629 0.9258 0.5530 1
N6 0.5071 0.0141 0.2830 1
N7 0.3429 0.6859 0.3548 1
N8 0.6877 0.3754 0.1851 1
N9 0.3620 0.7240 0.0075 1
N10 0.3123 0.6246 0.6851 1
Ge1 0.4487 0.8973 0.4541 1
Ge2 0.5513 0.1027 0.9541 1

***

No. 2
# PBE Zn3Au, relaxed
# Space group: No. 166
# Calculated formation energy in eV/atom: -0.036
data_Zn3Au
_chemical_formula_sum 'Zn3 Au1'
_space_group_name_H-M_alt 'P 1'
_space_group_IT_number 1
_cell_length_a 2.7594
_cell_length_b 5.2190
_cell_length_c 5.2190
_cell_angle_alpha 116.96
_cell_angle_beta 79.85
_cell_angle_gamma 79.85
loop_
_space_group_symop_operation_xyz
'x,y,z'
loop_
_atom_site_label
_atom_site_fract_x
_atom_site_fract_y
_atom_site_fract_z
_atom_site_occupancy
Zn1 0.5000 0.0000 0.5000 1
Zn2 0.0000 0.5000 0.5000 1
Zn3 0.5000 0.5000 0.0000 1
Au1 0.0000 0.0000 0.0000 1

***

No. 3
# PBE NaAsN2, relaxed
# Space group: No. 166
# Electronic total energy in eV/atom: -5.18
data_NaAsN2
_chemical_formula_sum 'Na1 As1 N2'
_space_group_name_H-M_alt 'P 1'
_space_group_IT_number 1
_cell_length_a 6.7516
_cell_length_b 6.7516
_cell_length_c 6.7516
_cell_angle_alpha 25.59
_cell_angle_beta 25.59
_cell_angle_gamma 25.59
loop_
_space_group_symop_operation_xyz
'x,y,z'
loop_
_atom_site_label
_atom_site_fract_x
_atom_site_fract_y
_atom_site_fract_z
_atom_site_occupancy
Na1 0.0000 0.0000 0.0000 1
N1 0.8860 0.8860 0.8860 1
N2 0.1140 0.1140 0.1140 1
As1 0.5000 0.5000 0.5000 1

***

No. 4
# PBE PmMn4Ga8, relaxed
# Space group: No. 139
# Calculated formation energy in eV/atom: -0.255
data_PmMn4Ga8
_chemical_formula_sum 'Pm1 Mn4 Ga8'
_space_group_name_H-M_alt 'P 1'
_space_group_IT_number 1
_cell_length_a 5.2149
_cell_length_b 6.7779
_cell_length_c 6.7779
_cell_angle_alpha 81.49
_cell_angle_beta 67.38
_cell_angle_gamma 67.38
loop_
_space_group_symop_operation_xyz
'x,y,z'
loop_
_atom_site_label
_atom_site_fract_x
_atom_site_fract_y
_atom_site_fract_z
_atom_site_occupancy
Pm1 0.0000 0.0000 0.0000 1
Ga1 0.7286 0.7714 0.7714 1
Ga2 0.6636 0.3364 0.3364 1
Ga3 0.5000 0.2286 0.7714 1
Ga4 0.2714 0.2286 0.2286 1
Ga5 0.0000 0.6636 0.3364 1
Ga6 0.5000 0.7714 0.2286 1
Ga7 0.3364 0.6636 0.6636 1
Ga8 0.0000 0.3364 0.6636 1
Mn1 0.5000 0.5000 0.0000 1
Mn2 0.0000 0.5000 0.0000 1
Mn3 0.0000 0.0000 0.5000 1
Mn4 0.5000 0.0000 0.5000 1

***

| no. | theoretical density (g/cm3) | magnetic moment (μB per formula unit) |
| --- | --- | --- |
| 1 | 9.21 | 1.012 |
| 2 | 10.35 | 0.000 |
| 3 | 4.14 | 0.000 |
| 4 | 7.51 | 9.062 |